{"formula": "SiNi3Pb", "functional": "GGA-PBE", "state": "relaxed", "lattice": [[-0.456, -4.172, 1.099], [4.132, -0.104, 1.319], [-1.242, 1.186, 3.984]], "species": ["Ni", "Ni", "Pb", "Ni", "Si"], "fractional_positions": [[0.500, 0.000, 0.000], [0.000, 0.500, 0.000], [0.500, 0.500, 0.500], [0.000, 0.000, 0.500], [0.000, 0.000, 0.000]], "de_polymorph_mev_per_atom": 0, "m_tot_mub_per_fu": 0.000, "space_group": "Pm-3m, No. 221", "final_energy_ev_per_cell": -25.488}



{"formula": "Si2NiPb", "functional": "GGA-PBE", "state": "relaxed", "lattice": [[-3.339, -1.536, 1.012], [-0.625, -0.958, 3.637], [-3.693, 4.668, 2.792]], "species": ["Si", "Pb", "Si", "Ni"], "fractional_positions": [[0.960, 0.960, 0.129], [0.751, 0.751, 0.761], [0.206, 0.206, 0.362], [0.582, 0.582, 0.247]], "m_tot_mub_per_fu": 0.000, "space_group": "Cm, No. 8", "final_energy_ev_per_cell": -20.505}



{"formula": "Si2Ni2Pb", "functional": "GGA-PBE", "state": "relaxed", "lattice": [[-4.491, -5.552, -1.925], [-0.675, -1.920, 7.111], [-2.249, 1.731, 0.254]], "species": ["Ni", "Si", "Si", "Ni", "Pb", "Ni", "Si", "Si", "Pb", "Ni"], "fractional_positions": [[0.630, 0.130, 0.000], [0.637, 0.863, 0.500], [0.137, 0.637, 0.500], [0.370, 0.870, 0.000], [0.500, 0.500, 0.000], [0.130, 0.370, 0.000], [0.863, 0.363, 0.500], [0.363, 0.137, 0.500], [0.000, 0.000, 0.000], [0.870, 0.630, 0.000]], "m_tot_mub_per_fu": 0.000, "space_group": "P4/mbm, No. 127", "final_energy_ev_per_cell": -51.302}



{"formula": "Si2NiPb", "functional": "GGA-PBE", "state": "relaxed", "lattice": [[3.838, -0.003, -0.012], [1.917, 3.325, -0.012], [1.914, 1.105, 5.856]], "species": ["Si", "Si", "Ni", "Pb"], "fractional_positions": [[0.956, 0.956, 0.128], [0.544, 0.544, 0.372], [0.250, 0.250, 0.250], [0.750, 0.750, 0.750]], "m_tot_mub_per_fu": 0.000, "space_group": "C2/m, No. 12", "final_energy_ev_per_cell": -20.405}



{"formula": "Si3NiPb", "functional": "GGA-PBE", "state": "relaxed", "lattice": [[-3.020, -0.170, -3.415], [1.897, -3.874, -1.484], [-2.845, -2.402, 2.635]], "species": ["Ni", "Si", "Si", "Pb", "Si"], "fractional_positions": [[0.000, 0.000, 0.000], [0.000, 0.000, 0.500], [0.500, 0.000, 0.000], [0.500, 0.500, 0.500], [0.000, 0.500, 0.000]], "de_polymorph_mev_per_atom": 0, "m_tot_mub_per_fu": 0.000, "space_group": "Pm-3m, No. 221", "final_energy_ev_per_cell": -23.752}



{"formula": "Si2NiPb", "functional": "GGA-PBE", "state": "relaxed", "lattice": [[-0.023, -2.623, 2.429], [-0.966, -2.315, -2.508], [5.315, -1.953, -2.057]], "species": ["Si", "Ni", "Si", "Pb"], "fractional_positions": [[0.500, 0.435, 0.184], [0.000, 0.354, 0.445], [0.000, 0.945, 0.181], [0.500, 0.766, 0.690]], "m_tot_mub_per_fu": 0.000, "space_group": "Pm, No. 6", "final_energy_ev_per_cell": -19.881}



Record order is preserved below.
DOS at the Fermi energy: 7.003, 1.424, 5.342, 1.677, 1.749, 1.453 states/eV/cell
Record order is preserved below.
ΔE_f (raw): 0.20, -0.04, 0.09, -0.02, 0.40, 0.11 eV per atom